(one)
{
  "formula": "Os2Cl",
  "functional": "meta-GGA SCAN",
  "state": "PBEsol geometry",
  "volume_a3_per_cell": 45.01,
  "magmom_total_mub_per_atom": 0.000,
  "lattice_angstrom": [[2.820, 0.000, 0.000], [0.000, 3.995, 0.000], [0.000, 0.000, 3.995]],
  "species": ["Os", "Os", "Cl"],
  "fractional_positions": [[0.500, 0.000, 0.500], [0.500, 0.500, 0.000], [0.000, 0.000, 0.000]]
}



(two)
{
  "formula": "Os2Cl",
  "functional": "meta-GGA SCAN",
  "state": "PBEsol geometry",
  "volume_a3_per_cell": 97.74,
  "magmom_total_mub_per_atom": 0.000,
  "lattice_angstrom": [[-3.807, -0.201, 0.758], [1.707, -2.770, -2.127], [1.442, -3.883, 6.216]],
  "species": ["Cl", "Cl", "Os", "Os", "Os", "Os"],
  "fractional_positions": [[0.000, 0.000, 0.750], [0.000, 0.000, 0.250], [0.667, 0.333, 0.572], [0.333, 0.667, 0.072], [0.333, 0.667, 0.428], [0.667, 0.333, 0.928]]
}



(three)
{
  "formula": "Os2Cl",
  "functional": "meta-GGA SCAN",
  "state": "PBEsol geometry",
  "volume_a3_per_cell": 120.30,
  "magmom_total_mub_per_atom": 0.000,
  "lattice_angstrom": [[2.786, 0.000, 0.000], [-1.393, 4.360, -0.022], [0.000, -0.445, 9.904]],
  "species": ["Cl", "Cl", "Os", "Os", "Os", "Os"],
  "fractional_positions": [[0.125, 0.250, 0.365], [0.875, 0.750, 0.635], [0.407, 0.814, 0.830], [0.869, 0.738, 0.047], [0.131, 0.262, 0.953], [0.593, 0.186, 0.170]]
}



(four)
{
  "formula": "Os2Cl",
  "functional": "meta-GGA SCAN",
  "state": "PBEsol geometry",
  "volume_a3_per_cell": 44.33,
  "magmom_total_mub_per_atom": 0.000,
  "lattice_angstrom": [[3.973, 0.000, 0.000], [1.986, 3.440, 0.000], [1.986, 1.147, 3.244]],
  "species": ["Os", "Os", "Cl"],
  "fractional_positions": [[0.250, 0.250, 0.250], [0.750, 0.750, 0.750], [0.000, 0.000, 0.000]]
}



Relative energies with respect to the most stable structure, expressed in kJ/mol of atoms: (one) 181.0; (two) 51.7; (three) 0.0; (four) 176.5.